1.
A plane-wave DFT calculation with GGA-PBE was carried out for Zr2TiBeCr after structural relaxation.

ρ	5.2	g cm⁻³
space-group type	No. 123
energy above the lowest structure with this stoichiometry	82.0	meV/atom

a b c (Å): 4.6895 4.6895 4.2474
angles (deg): 90.00 90.00 90.00
Closest atoms and distances in Å follow each position.
Positions (direct):
Cr: 0.5000 0.5000 0.5000  8 Zr 3.16, 4 Ti 3.32
Be: 0.0000 0.0000 0.0000  2 Ti 2.12, 4 Zr 2.34
Zr: 0.0000 0.5000 0.0000  2 Be 2.34
Zr: 0.5000 0.0000 0.0000  2 Be 2.34
Ti: 0.0000 0.0000 0.5000  2 Be 2.12

***

2.
A plane-wave DFT calculation with GGA-PBE was carried out for Be2TlCr after structural relaxation.

ρ	8.1	g cm⁻³
space-group type	No. 99
energy above the lowest structure with this stoichiometry	98.7	meV/atom

a b c (Å): 2.9469 2.9470 6.4632
angles (deg): 90.00 90.00 90.00
Closest atoms and distances in Å follow each position.
Positions (direct):
Cr: 0.0000 0.0000 0.4321  5 Be 2.31-2.46
Tl: 0.5000 0.5000 0.7634  5 Be 2.90-3.02, 4 Tl 2.95, 4 Cr 2.99
Be: 0.0000 0.0000 0.0744  1 Cr 2.31, 4 Be 2.31
Be: 0.5000 0.5000 0.2301  4 Be 2.31, 4 Cr 2.46

***

3.
A plane-wave DFT calculation with GGA-PBE was carried out for Be2TlCr after structural relaxation.

ρ	8.0	g cm⁻³
space-group type	No. 122
energy above the lowest structure with this stoichiometry	452.3	meV/atom

a b c (Å): 6.5678 6.5678 5.3504
angles (deg): 52.14 52.14 90.00
Closest atoms and distances in Å follow each position.
Positions (direct):
Cr: 0.5000 0.5000 0.0000  4 Be 2.32
Cr: 0.2500 0.7500 0.5000  4 Be 2.32
Tl: 0.0000 0.0000 0.0000  4 Be 2.51, 2 Cr 2.66
Tl: 0.7500 0.2500 0.5000  4 Be 2.51, 2 Cr 2.66
Be: 0.6036 0.1250 0.2500  2 Cr 2.32, 2 Tl 2.51
Be: 0.1464 0.6250 0.2500  2 Cr 2.32, 2 Tl 2.51
Be: 0.3750 0.3964 0.7500  2 Cr 2.32, 2 Tl 2.51
Be: 0.8750 0.8536 0.7500  2 Cr 2.32, 2 Tl 2.51

***

4.
A plane-wave DFT calculation with GGA-PBE was carried out for Be2TlCr after structural relaxation.

ρ	8.2	g cm⁻³
space-group type	No. 123
energy above the lowest structure with this stoichiometry	0.0	meV/atom

a b c (Å): 3.1080 3.1080 5.7340
angles (deg): 90.00 90.00 90.00
Closest atoms and distances in Å follow each position.
Positions (direct):
Cr: 0.5000 0.5000 0.2500  8 Be 2.42
Tl: 0.5000 0.5000 0.7500  2 Cr 2.87, 8 Be 2.87, 4 Tl 3.11
Be: 0.0000 0.0000 0.0726  1 Be 2.03
Be: 0.0000 0.0000 0.4274  1 Be 2.03

***

5.
A plane-wave DFT calculation with GGA-PBE was carried out for BeTlCr3 after structural relaxation.

ρ	8.2	g cm⁻³
space-group type	No. 221
energy above the lowest structure with this stoichiometry	0.0	meV/atom

a b c (Å): 4.2100 4.2100 4.2100
angles (deg): 90.00 90.00 90.00
Closest atoms and distances in Å follow each position.
Positions (direct):
Cr: 0.0000 0.5000 0.0000  2 Be 2.10
Cr: 0.0000 0.0000 0.5000  2 Be 2.10
Cr: 0.5000 0.0000 0.0000  2 Be 2.10
Tl: 0.5000 0.5000 0.5000  12 Cr 2.98
Be: 0.0000 0.0000 0.0000  6 Cr 2.10

***

6.
A plane-wave DFT calculation with GGA-PBE was carried out for BeTl4Cr after structural relaxation.

ρ	8.4	g cm⁻³
space-group type	No. 216
energy	-17.19	eV/cell

a b c (Å): 6.2691 6.2691 6.2691
angles (deg): 60.00 60.00 60.00
Closest atoms and distances in Å follow each position.
Positions (direct):
Be: 0.7500 0.7500 0.7500  12 Tl 3.68, 4 Cr 3.84
Tl: 0.8752 0.3749 0.3749  6 Tl 3.13-3.14
Tl: 0.3749 0.3749 0.8752  6 Tl 3.13-3.14
Tl: 0.3749 0.8752 0.3749  6 Tl 3.13-3.14
Tl: 0.3749 0.3749 0.3749  6 Tl 3.13-3.14
Cr: 0.0000 0.0000 0.0000  12 Tl 3.68, 4 Be 3.84

***

7.
A plane-wave DFT calculation with GGA-PBE was carried out for Be2TlCr after structural relaxation.

ρ	8.2	g cm⁻³
space-group type	No. 12
energy above the lowest structure with this stoichiometry	341.8	meV/atom

a b c (Å): 4.7756 4.9923 2.7686
angles (deg): 74.59 88.61 118.14
Closest atoms and distances in Å follow each position.
Positions (direct):
Cr: 0.0000 0.5000 0.5000  4 Be 2.51, 4 Tl 2.73-2.79, 2 Cr 2.77
Tl: 0.5000 0.5000 0.0000  4 Be 2.51, 4 Cr 2.73-2.79, 2 Tl 2.77
Be: 0.0000 0.0000 0.0000  2 Tl 2.51, 2 Cr 2.51, 6 Be 2.73-2.79
Be: 0.5000 0.0000 0.5000  2 Cr 2.51, 2 Tl 2.51, 6 Be 2.73-2.79

***

8.
A plane-wave DFT calculation with GGA-PBE was carried out for Be2TlCr after structural relaxation.

ρ	8.3	g cm⁻³
space-group type	No. 225
energy above the lowest structure with this stoichiometry	157.7	meV/atom

a b c (Å): 4.2624 4.2624 4.2624
angles (deg): 60.00 60.00 60.00
Closest atoms and distances in Å follow each position.
Positions (direct):
Cr: 0.0000 0.0000 0.0000  8 Be 2.61
Tl: 0.5000 0.5000 0.5000  8 Be 2.61
Be: 0.2500 0.2500 0.2500  4 Cr 2.61, 4 Tl 2.61
Be: 0.7500 0.7500 0.7500  4 Cr 2.61, 4 Tl 2.61

***

9.
A plane-wave DFT calculation with GGA-PBE was carried out for Be2TlCr after structural relaxation.

ρ	8.7	g cm⁻³
space-group type	No. 8
energy above the lowest structure with this stoichiometry	208.0	meV/atom

a b c (Å): 4.7533 4.7533 4.2959
angles (deg): 72.18 72.18 34.76
Closest atoms and distances in Å follow each position.
Positions (direct):
Cr: 0.4804 0.4804 0.5694  7 Be 2.48-2.73
Tl: 0.2588 0.2588 0.2115  7 Be 2.54-2.69, 2 Tl 2.84, 1 Cr 2.85
Be: 0.0244 0.0244 0.0036  2 Be 2.39, 2 Cr 2.48, 1 Tl 2.56
Be: 0.7364 0.7364 0.7154  2 Be 2.39, 3 Cr 2.53-2.59, 4 Tl 2.54-2.62

***

10.
A plane-wave DFT calculation with GGA-PBE was carried out for Be2TlCr after structural relaxation.

ρ	7.8	g cm⁻³
space-group type	No. 216
energy above the lowest structure with this stoichiometry	238.7	meV/atom

a b c (Å): 4.3496 4.3496 4.3496
angles (deg): 60.00 60.00 60.00
Closest atoms and distances in Å follow each position.
Positions (direct):
Cr: 0.5000 0.5000 0.5000  4 Tl 2.66, 4 Be 2.66
Tl: 0.2500 0.2500 0.2500  4 Be 2.66, 4 Cr 2.66
Be: 0.0000 0.0000 0.0000  4 Be 2.66, 4 Tl 2.66
Be: 0.7500 0.7500 0.7500  4 Cr 2.66, 4 Be 2.66

***

11.
A plane-wave DFT calculation with GGA-PBE was carried out for Be2TlCr after structural relaxation.

ρ	8.1	g cm⁻³
space-group type	No. 12
energy above the lowest structure with this stoichiometry	146.4	meV/atom

a b c (Å): 4.4367 4.4367 4.8464
angles (deg): 81.55 81.55 36.83
Closest atoms and distances in Å follow each position.
Positions (direct):
Cr: 0.7500 0.7500 0.7500  6 Be 2.39-2.51
Tl: 0.2500 0.2500 0.2500  6 Be 2.75-2.99, 4 Cr 2.80, 2 Tl 2.80
Be: 0.0233 0.0233 0.8982  2 Be 2.09
Be: 0.4767 0.4767 0.6018  2 Be 2.09

***

12.
A plane-wave DFT calculation with GGA-PBE was carried out for BeTl3Cr after structural relaxation.

ρ	8.9	g cm⁻³
space-group type	No. 221
energy above the lowest structure with this stoichiometry	0.0	meV/atom

a b c (Å): 5.0029 5.0029 5.0029
angles (deg): 90.00 90.00 90.00
Closest atoms and distances in Å follow each position.
Positions (direct):
Cr: 0.5000 0.5000 0.5000  12 Tl 3.54
Tl: 0.0000 0.5000 0.0000  2 Be 2.50
Tl: 0.0000 0.0000 0.5000  2 Be 2.50
Tl: 0.5000 0.0000 0.0000  2 Be 2.50
Be: 0.0000 0.0000 0.0000  6 Tl 2.50

***

13.
A plane-wave DFT calculation with GGA-PBE was carried out for Be2TlCr after structural relaxation.

ρ	8.0	g cm⁻³
space-group type	No. 6
energy above the lowest structure with this stoichiometry	80.2	meV/atom

a b c (Å): 3.7983 3.2012 4.9209
angles (deg): 71.21 90.00 90.00
Closest atoms and distances in Å follow each position.
Positions (direct):
Cr: 0.0000 0.4807 0.4154  6 Be 2.44-2.58
Tl: 0.5000 0.7858 0.8028  7 Be 2.52-2.68
Be: 0.0000 0.1774 0.0192  2 Be 2.21, 2 Cr 2.44
Be: 0.5000 0.0560 0.2625  2 Be 2.21

***

14.
A plane-wave DFT calculation with GGA-PBE was carried out for Be2TlCr after structural relaxation.

ρ	7.7	g cm⁻³
space-group type	No. 166
energy above the lowest structure with this stoichiometry	390.0	meV/atom

a b c (Å): 8.4241 8.4241 8.4241
angles (deg): 19.63 19.63 19.63
Closest atoms and distances in Å follow each position.
Positions (direct):
Cr: 0.2500 0.2500 0.2500  6 Be 2.43
Tl: 0.7500 0.7500 0.7500  6 Tl 2.87, 6 Be 2.88
Be: 0.9884 0.9884 0.9884  3 Cr 2.43
Be: 0.5116 0.5116 0.5116  3 Cr 2.43

***

15.
A plane-wave DFT calculation with GGA-PBE was carried out for Be2TlCr after structural relaxation.

ρ	8.7	g cm⁻³
space-group type	No. 123
energy above the lowest structure with this stoichiometry	55.8	meV/atom

a b c (Å): 3.8666 3.8666 3.5157
angles (deg): 90.00 90.00 90.00
Closest atoms and distances in Å follow each position.
Positions (direct):
Cr: 0.5000 0.0000 0.5000  8 Be 2.61, 4 Tl 2.73
Tl: 0.0000 0.5000 0.5000  8 Be 2.61, 4 Cr 2.73
Be: 0.0000 0.0000 0.0000  4 Cr 2.61, 4 Tl 2.61, 4 Be 2.73
Be: 0.5000 0.5000 0.0000  4 Tl 2.61, 4 Cr 2.61, 4 Be 2.73

***

16.
A plane-wave DFT calculation with GGA-PBE was carried out for Be3TlCr after structural relaxation.

ρ	5.9	g cm⁻³
space-group type	No. 221
energy above the lowest structure with this stoichiometry	0.0	meV/atom

a b c (Å): 4.3095 4.3095 4.3095
angles (deg): 90.00 90.00 90.00
Closest atoms and distances in Å follow each position.
Positions (direct):
Cr: 0.0000 0.0000 0.0000  6 Be 2.15
Tl: 0.5000 0.5000 0.5000  12 Be 3.05
Be: 0.0000 0.5000 0.0000  2 Cr 2.15
Be: 0.0000 0.0000 0.5000  2 Cr 2.15
Be: 0.5000 0.0000 0.0000  2 Cr 2.15

***

17.
A plane-wave DFT calculation with GGA-PBE was carried out for BeTlCr4 after structural relaxation.

ρ	8.6	g cm⁻³
space-group type	No. 216
energy	-40.60	eV/cell

a b c (Å): 4.8585 4.8585 4.8585
angles (deg): 60.00 60.00 60.00
Closest atoms and distances in Å follow each position.
Positions (direct):
Be: 0.0000 0.0000 0.0000  12 Cr 2.84, 4 Tl 2.98
Tl: 0.7500 0.7500 0.7500  12 Cr 2.85, 4 Be 2.98
Cr: 0.8816 0.3728 0.3728  6 Cr 2.39-2.47
Cr: 0.3728 0.3728 0.8816  6 Cr 2.39-2.47
Cr: 0.3728 0.8816 0.3728  6 Cr 2.39-2.47
Cr: 0.3728 0.3728 0.3728  6 Cr 2.39-2.47

***

18.
A plane-wave DFT calculation with GGA-PBE was carried out for BeTl3Cr after structural relaxation.

ρ	7.4	g cm⁻³
space-group type	No. 221
energy above the lowest structure with this stoichiometry	281.8	meV/atom

a b c (Å): 5.3313 5.3313 5.3313
angles (deg): 90.00 90.00 90.00
Closest atoms and distances in Å follow each position.
Positions (direct):
Cr: 0.0000 0.0000 0.0000  6 Tl 2.67
Tl: 0.0000 0.5000 0.0000  2 Cr 2.67
Tl: 0.0000 0.0000 0.5000  2 Cr 2.67
Tl: 0.5000 0.0000 0.0000  2 Cr 2.67
Be: 0.5000 0.5000 0.5000  12 Tl 3.77

***

19.
A plane-wave DFT calculation with GGA-PBE was carried out for BeTlCr3 after structural relaxation.

ρ	4.5	g cm⁻³
space-group type	No. 221
energy above the lowest structure with this stoichiometry	1129.7	meV/atom

a b c (Å): 5.1379 5.1379 5.1379
angles (deg): 90.00 90.00 90.00
Closest atoms and distances in Å follow each position.
Positions (direct):
Cr: 0.0000 0.5000 0.0000  2 Tl 2.57
Cr: 0.0000 0.0000 0.5000  2 Tl 2.57
Cr: 0.5000 0.0000 0.0000  2 Tl 2.57
Tl: 0.0000 0.0000 0.0000  6 Cr 2.57
Be: 0.5000 0.5000 0.5000  12 Cr 3.63

***

20.
A plane-wave DFT calculation with GGA-PBE was carried out for Be2TlCr after structural relaxation.

ρ	8.3	g cm⁻³
space-group type	No. 44
energy above the lowest structure with this stoichiometry	107.8	meV/atom

a b c (Å): 5.2274 5.2274 5.2274
angles (deg): 140.80 142.44 55.42
Closest atoms and distances in Å follow each position.
Positions (direct):
Cr: 0.4862 0.4862 0.0000  6 Be 2.30-2.43
Tl: 0.2253 0.7253 0.5000  6 Be 2.58-2.83, 2 Cr 2.78
Be: 0.9712 0.9712 0.0000  2 Be 2.26, 4 Cr 2.43
Be: 0.8173 0.3173 0.5000  2 Be 2.26, 2 Cr 2.30